## PmHo4Al3 (GGA-PBE)

Data for crystalline PmHo4Al3 at its relaxed geometry.

Calculated values
Energy relative to the elements (eV per atom): -0.13
Crystal system: orthorhombic
DFT total energy (eV/atom): -4.418
Total magnetic moment (μB/cell): 0.0

```
data_PmHo4Al3
_cell_length_a 3.362
_cell_length_b 8.510
_cell_length_c 14.890
_cell_angle_alpha 90.00
_cell_angle_beta 90.00
_cell_angle_gamma 90.00
_symmetry_space_group_name_H-M 'I m m m'
_symmetry_Int_Tables_number 71
_symmetry_space_group_name_Hall '-I 2 2'
loop_
_atom_site_label
_atom_site_type_symbol
_atom_site_fract_x
_atom_site_fract_y
_atom_site_fract_z
_atom_site_occupancy
Pm1 Pm 0.000 0.000 0.000 1
Ho1 Ho 0.000 0.304 0.141 1
Al1 Al 0.000 0.000 0.500 1
Al2 Al 0.000 0.500 0.315 1
```

## NiHg2Pd2 (GGA-PBE)

Data for crystalline NiHg2Pd2 at its relaxed geometry.

Calculated values
Energy relative to the elements (eV per atom): 0.10
Crystal system: tetragonal
DFT total energy (eV/atom): -3.250
Total magnetic moment (μB/cell): 0.6

```
data_NiHg2Pd2
_cell_length_a 6.629
_cell_length_b 6.629
_cell_length_c 4.129
_cell_angle_alpha 90.00
_cell_angle_beta 90.00
_cell_angle_gamma 90.00
_symmetry_space_group_name_H-M 'P 4/m b m'
_symmetry_Int_Tables_number 127
_symmetry_space_group_name_Hall '-P 4 2ab'
loop_
_atom_site_label
_atom_site_type_symbol
_atom_site_fract_x
_atom_site_fract_y
_atom_site_fract_z
_atom_site_occupancy
Ni1 Ni 0.000 0.000 0.000 1
Hg1 Hg 0.167 0.333 0.500 1
Pd1 Pd 0.142 0.642 0.000 1
```

## Ac4GaPb2 (GGA-PBE)

Data for crystalline Ac4GaPb2 at its relaxed geometry.

Calculated values
Energy relative to the elements (eV per atom): -0.46
Crystal system: monoclinic
DFT total energy (eV/atom): -4.295
Total magnetic moment (μB/cell): 1.1
ΔE to the lowest computed polymorph (kJ/mol of formula units): 0

```
data_Ac4GaPb2
_cell_length_a 12.483
_cell_length_b 5.086
_cell_length_c 9.678
_cell_angle_alpha 90.00
_cell_angle_beta 121.24
_cell_angle_gamma 90.00
_symmetry_space_group_name_H-M 'C 1 2/m 1'
_symmetry_Int_Tables_number 12
loop_
_symmetry_equiv_pos_as_xyz
'x,y,z'
'-x,-y,-z'
'-x,y,-z'
'x,-y,z'
'x+1/2,y+1/2,z'
'-x+1/2,-y+1/2,-z'
'-x+1/2,y+1/2,-z'
'x+1/2,-y+1/2,z'
loop_
_atom_site_label
_atom_site_type_symbol
_atom_site_fract_x
_atom_site_fract_y
_atom_site_fract_z
_atom_site_occupancy
Ac1 Ac 0.079 0.000 0.369 1
Ac2 Ac 0.175 0.500 0.064 1
Ga1 Ga 0.000 0.000 0.000 1
Pb1 Pb 0.146 0.500 0.660 1
```

## PaRe4B2 (GGA-PBE)

Data for crystalline PaRe4B2 at its relaxed geometry.

Calculated values
Energy relative to the elements (eV per atom): -0.21
Crystal system: orthorhombic
DFT total energy (eV/atom): -10.583
Total magnetic moment (μB/cell): 0.0

```
data_PaRe4B2
_cell_length_a 3.949
_cell_length_b 13.094
_cell_length_c 3.831
_cell_angle_alpha 90.00
_cell_angle_beta 90.00
_cell_angle_gamma 90.00
_symmetry_space_group_name_H-M 'C m m m'
_symmetry_Int_Tables_number 65
_symmetry_space_group_name_Hall '-C 2 2'
loop_
_atom_site_label
_atom_site_type_symbol
_atom_site_fract_x
_atom_site_fract_y
_atom_site_fract_z
_atom_site_occupancy
Pa1 Pa 0.000 0.000 0.000 1
Re1 Re 0.000 0.171 0.500 1
Re2 Re 0.000 0.316 0.000 1
B1 B 0.000 0.428 0.500 1
```

## TlInBr5 (GGA-PBE)

Data for crystalline TlInBr5 at its relaxed geometry.

Calculated values
Crystal system: monoclinic
DFT total energy (eV/atom): -2.598
E_form (uncorrected) (meV per atom): -673.9
Total magnetic moment (μB/cell): 0.0

```
data_TlInBr5
_cell_length_a 11.412
_cell_length_b 10.809
_cell_length_c 10.896
_cell_angle_alpha 90.00
_cell_angle_beta 118.19
_cell_angle_gamma 90.00
_symmetry_space_group_name_H-M 'C 1 2/c 1'
_symmetry_Int_Tables_number 15
loop_
_symmetry_equiv_pos_as_xyz
'x,y,z'
'-x,-y,-z'
'-x,y,-z+1/2'
'x,-y,z+1/2'
'x+1/2,y+1/2,z'
'-x+1/2,-y+1/2,-z'
'-x+1/2,y+1/2,-z+1/2'
'x+1/2,-y+1/2,z+1/2'
loop_
_atom_site_label
_atom_site_type_symbol
_atom_site_fract_x
_atom_site_fract_y
_atom_site_fract_z
_atom_site_occupancy
Tl1 Tl 0.000 0.000 0.000 1
In1 In 0.000 0.409 0.250 1
Br1 Br 0.000 0.051 0.750 1
Br2 Br 0.019 0.286 0.459 1
Br3 Br 0.197 0.441 0.839 1
```

## Rb2HgF4 (GGA-PBE)

Data for crystalline Rb2HgF4 at its relaxed geometry.

Calculated values
Crystal system: monoclinic
DFT total energy (eV/atom): -3.518
E_form (uncorrected) (meV per atom): -2129.2
Total magnetic moment (μB/cell): 0.0
ΔE to the lowest computed polymorph (kJ/mol of formula units): 43

```
data_Rb2HgF4
_cell_length_a 7.093
_cell_length_b 6.577
_cell_length_c 7.794
_cell_angle_alpha 90.00
_cell_angle_beta 108.91
_cell_angle_gamma 90.00
_symmetry_space_group_name_H-M 'P 1 21/m 1'
_symmetry_Int_Tables_number 11
loop_
_symmetry_equiv_pos_as_xyz
'x,y,z'
'-x,-y,-z'
'-x,y+1/2,-z'
'x,-y+1/2,z'
loop_
_atom_site_label
_atom_site_type_symbol
_atom_site_fract_x
_atom_site_fract_y
_atom_site_fract_z
_atom_site_occupancy
Rb1 Rb 0.164 0.250 0.041 1
Rb2 Rb 0.247 0.250 0.551 1
Hg1 Hg 0.295 0.750 0.814 1
F1 F 0.045 0.523 0.752 1
F2 F 0.489 0.250 0.910 1
F3 F 0.497 0.750 0.653 1
```

## NaBePt3 (GGA-PBE)

Data for crystalline NaBePt3 at its relaxed geometry.

Calculated values
Energy relative to the elements (eV per atom): 1.62
Crystal system: cubic
DFT total energy (eV/atom): -3.012
Total magnetic moment (μB/cell): 0.0
ΔE to the lowest computed polymorph (kJ/mol of formula units): 850

```
data_NaBePt3
_cell_length_a 4.564
_cell_length_b 4.564
_cell_length_c 4.564
_cell_angle_alpha 90.00
_cell_angle_beta 90.00
_cell_angle_gamma 90.00
_symmetry_space_group_name_H-M 'P m -3 m'
_symmetry_Int_Tables_number 221
_symmetry_space_group_name_Hall '-P 4 2 3'
loop_
_atom_site_label
_atom_site_type_symbol
_atom_site_fract_x
_atom_site_fract_y
_atom_site_fract_z
_atom_site_occupancy
Na1 Na 0.000 0.000 0.000 1
Be1 Be 0.500 0.500 0.500 1
Pt1 Pt 0.000 0.000 0.500 1
```

## GeB2Se (GGA-PBE)

Data for crystalline GeB2Se at its relaxed geometry.

Calculated values
Crystal system: tetragonal
DFT total energy (eV/atom): -5.100
E_form (uncorrected) (meV per atom): 263.9
Total magnetic moment (μB/cell): 0.0
ΔE to the lowest computed polymorph (kJ/mol of formula units): 0

```
data_GeB2Se
_cell_length_a 4.855
_cell_length_b 4.855
_cell_length_c 9.670
_cell_angle_alpha 90.00
_cell_angle_beta 90.00
_cell_angle_gamma 90.00
_symmetry_space_group_name_H-M 'I -4 2 d'
_symmetry_Int_Tables_number 122
_symmetry_space_group_name_Hall 'I -4 2bw'
loop_
_atom_site_label
_atom_site_type_symbol
_atom_site_fract_x
_atom_site_fract_y
_atom_site_fract_z
_atom_site_occupancy
Ge1 Ge 0.000 0.000 0.000 1
B1 B 0.248 0.250 0.125 1
Se1 Se 0.000 0.000 0.500 1
```